[1]
La8Ir3NCl4 | PBE-GGA | relaxed

The calculation puts the raw formation energy at -2057 kJ/mol of formula units. For the density, the calculation gives 6.95 Mg/m³. The density of states at the Fermi level comes out at 0.590 states/eV per atom. For the size of the total moment, the calculation gives 0.00 μB/f.u.

The structure belongs to space group C2/m (No. 12); the cell edges are 14.440, 8.044 and 8.972 Å and the angles 90.00°, 122.24° and 90.00°. The inequivalent atoms are La at (0.010, 0.231, 0.305), La at (0.238, 0.000, 0.707), La at (0.239, 0.500, 0.709), Ir at (0.000, 0.500, 0.500), Ir at (0.250, 0.250, 0.500), N at (0.000, 0.000, 0.500), Cl at (0.000, 0.000, 0.000), Cl at (0.000, 0.500, 0.000) and Cl at (0.250, 0.250, 0.000).

[2]
KPm2Cl7 | PBE-GGA | relaxed

The calculation puts the raw formation energy at -2133 kJ/mol of formula units. For the density, the calculation gives 2.91 Mg/m³. The density of states at the Fermi level comes out at 0.000 states/eV per atom. For the size of the total moment, the calculation gives 0.00 μB/f.u.

The structure belongs to space group Cmmm (No. 65); the cell edges are 8.696, 13.934 and 5.436 Å and the angles 90.00°, 90.00° and 90.00°. The inequivalent atoms are K at (0.000, 0.000, 0.000), Pm at (0.000, 0.303, 0.500), Cl at (0.000, 0.288, 0.000), Cl at (0.000, 0.500, 0.500) and Cl at (0.188, 0.138, 0.500).

[3]
BaEuTlAu | PBE-GGA | relaxed

For the formation energy, the calculation gives -0.48 eV/atom. For the density, the calculation gives 8.81 Mg/m³. The density of states at the Fermi level comes out at 2.516 states/eV per atom. For the size of the total moment, the calculation gives 7.39 μB/f.u.

The structure belongs to space group F-43m (No. 216); the cell edges are 8.044, 8.044 and 8.044 Å and the angles 90.00°, 90.00° and 90.00°. The inequivalent atoms are Ba at (0.000, 0.000, 0.000), Eu at (0.000, 0.000, 0.500), Tl at (0.250, 0.250, 0.250) and Au at (0.250, 0.250, 0.750).

[4]
Dy2ScPaAs4 | PBE-GGA | relaxed

For the formation energy, the calculation gives -1.37 eV/atom. For the density, the calculation gives 7.92 Mg/m³. The density of states at the Fermi level comes out at 0.653 states/eV per atom. For the size of the total moment, the calculation gives 0.00 μB/f.u.

The structure belongs to space group P2/m (No. 10); the cell edges are 6.988, 4.068 and 7.043 Å and the angles 90.00°, 109.47° and 90.00°. The inequivalent atoms are Dy at (0.000, 0.000, 0.000), Dy at (0.500, 0.500, 0.000), Sc at (0.000, 0.500, 0.500), Pa at (0.500, 0.000, 0.500), As at (0.242, 0.000, 0.738) and As at (0.246, 0.500, 0.256).

[5]
Ac3HoB2N6 | PBE-GGA | relaxed

The calculation puts the raw formation energy at -1404 kJ/mol of formula units. For the density, the calculation gives 8.33 Mg/m³. The density of states at the Fermi level comes out at 0.019 states/eV per atom. For the size of the total moment, the calculation gives 0.00 μB/f.u.

The structure belongs to space group P-3m1 (No. 164); the cell edges are 5.7409, 5.7409 and 6.6483 Å and the angles 90.00°, 90.00° and 120.00°. The inequivalent atoms are Ac at (0.0000, 0.0000, 0.0000), Ac at (0.3333, 0.6667, 0.6739), Ho at (0.0000, 0.0000, 0.5000), B at (0.3333, 0.6667, 0.2614) and N at (0.1854, 0.3708, 0.2823).

[6]
Pm2MnGe3Rh4 | PBE-GGA | relaxed

For the formation energy, the calculation gives -0.78 eV/atom. For the density, the calculation gives 8.87 Mg/m³. The density of states at the Fermi level comes out at 0.588 states/eV per atom. For the size of the total moment, the calculation gives 3.50 μB/f.u.

The structure belongs to space group P-4m2 (No. 115); the cell edges are 4.174, 4.174 and 10.466 Å and the angles 90.00°, 90.00° and 90.00°. The inequivalent atoms are Pm at (0.000, 0.500, 0.249), Mn at (0.000, 0.000, 0.500), Ge at (0.000, 0.500, 0.871), Ge at (0.500, 0.500, 0.500), Rh at (0.000, 0.000, 0.000), Rh at (0.000, 0.500, 0.637) and Rh at (0.500, 0.500, 0.000).

[7]
Tl2N2F | PBE-GGA | relaxed

The calculation puts the raw formation energy at -278 kJ/mol of formula units. For the density, the calculation gives 5.75 Mg/m³. The density of states at the Fermi level comes out at 0.210 states/eV per atom. For the size of the total moment, the calculation gives 0.00 μB/f.u.

The structure belongs to space group C2/m (No. 12); the cell edges are 3.348, 6.549 and 12.055 Å and the angles 90.00°, 95.15° and 90.00°. The inequivalent atoms are Tl at (0.053, 0.000, 0.166), N at (0.003, 0.000, 0.546) and F at (0.000, 0.500, 0.000).

[8]
PdRhC2 | PBE-GGA | relaxed

For the formation energy, the calculation gives 0.87 eV/atom. The energy relative to the lowest polymorph listed for this composition comes out at 0.00 eV per formula unit. For the density, the calculation gives 7.63 Mg/m³. The density of states at the Fermi level comes out at 0.447 states/eV per atom. For the size of the total moment, the calculation gives 0.00 μB/f.u.

The structure belongs to space group I-42d (No. 122); the cell edges are 4.681, 4.681 and 9.276 Å and the angles 90.00°, 90.00° and 90.00°. The inequivalent atoms are Pd at (0.000, 0.000, 0.000), Rh at (0.000, 0.000, 0.500) and C at (0.233, 0.250, 0.625).

[9]
KTaIr2 | PBE-GGA | relaxed

For the formation energy, the calculation gives 0.22 eV/atom. The energy relative to the lowest polymorph listed for this composition comes out at 1.02 eV per formula unit. For the density, the calculation gives 13.65 Mg/m³. The density of states at the Fermi level comes out at 1.197 states/eV per atom. For the size of the total moment, the calculation gives 0.03 μB/f.u.

The structure belongs to space group R-3m (No. 166, hexagonal axes); the cell edges are 2.9084, 2.9084 and 30.1175 Å and the angles 90.00°, 90.00° and 120.00°. The inequivalent atoms are K at (0.0000, 0.0000, 0.0000), Ta at (0.0000, 0.0000, 0.5000) and Ir at (0.0000, 0.0000, 0.2385).

[10]
MgSn3Pd | PBE-GGA | relaxed

For the formation energy, the calculation gives 0.08 eV/atom. The energy relative to the lowest polymorph listed for this composition comes out at 1.73 eV per formula unit. For the density, the calculation gives 5.63 Mg/m³. The density of states at the Fermi level comes out at 0.321 states/eV per atom. For the size of the total moment, the calculation gives 0.00 μB/f.u.

The structure belongs to space group Pm-3m (No. 221); the cell edges are 5.238, 5.238 and 5.238 Å and the angles 90.00°, 90.00° and 90.00°. The inequivalent atoms are Mg at (0.000, 0.000, 0.000), Sn at (0.000, 0.500, 0.500) and Pd at (0.500, 0.500, 0.500).

[11]
Ag2MoPtC | PBE-GGA | relaxed

For the formation energy, the calculation gives 2.41 eV/atom. For the density, the calculation gives 7.04 Mg/m³. The density of states at the Fermi level comes out at 0.801 states/eV per atom. For the size of the total moment, the calculation gives 2.20 μB/f.u.

The structure belongs to space group P4/mmm (No. 123); the cell edges are 5.086, 5.086 and 4.730 Å and the angles 90.00°, 90.00° and 90.00°. The inequivalent atoms are Ag at (0.000, 0.500, 0.000), Mo at (0.000, 0.000, 0.500), Pt at (0.000, 0.000, 0.000) and C at (0.500, 0.500, 0.500).

[12]
CdCoRh2 | PBE-GGA | relaxed

For the formation energy, the calculation gives 0.19 eV/atom. The energy relative to the lowest polymorph listed for this composition comes out at 0.65 eV per formula unit. For the density, the calculation gives 10.44 Mg/m³. The density of states at the Fermi level comes out at 1.677 states/eV per atom. For the size of the total moment, the calculation gives 3.23 μB/f.u.

The structure belongs to space group P4/mmm (No. 123); the cell edges are 4.025, 4.025 and 3.704 Å and the angles 90.00°, 90.00° and 90.00°. The inequivalent atoms are Cd at (0.000, 0.000, 0.000), Co at (0.500, 0.500, 0.000) and Rh at (0.000, 0.500, 0.500).

- Look up the size of the total moment of the fifth one.
  0.00 μB/f.u.

- Number 2 is which compound?
  KPm2Cl7